A relaxed SmFeSeO2 crystal. Source: Alexandria, functional PBE+U.

a b c (Å): 5.3231 5.3786 6.5118
angles (deg): 114.39 90.00 90.00
Closest atoms and distances in Å follow each position.
Fractional positions:
Se (0.7500, 0.7495, 0.4989)  4 Sm 3.10-3.13
Se (0.2500, 0.2505, 0.5011)  4 Sm 3.10-3.13
O (0.0000, 0.7590, 0.0000)  2 Fe 1.98
O (0.5000, 0.2410, 0.0000)  2 Fe 1.98
O (0.5000, 0.7590, 0.0000)  2 Fe 1.98
O (0.0000, 0.2410, 0.0000)  2 Fe 1.98
Sm (0.2500, 0.6155, 0.2309)  4 O 2.36
Sm (0.7500, 0.3845, 0.7691)  4 O 2.36
Fe (0.7500, 0.0574, 0.1148)  4 O 1.98
Fe (0.2500, 0.9426, 0.8852)  4 O 1.98

Calculated values
The uncorrected energy is -66.17 eV/cell. As for the space group: Cmcm.